ZnMo2O4 after structural relaxation. Source: Alexandria via LeMat-Bulk, functional PBE with a Hubbard U.

a b c (Å): 6.0390 6.1741 9.6219
angles (deg): 90.00 90.00 90.00
Closest atoms and distances in Å follow each position.
Space group Imma (No. 74)
Symmetry-distinct sites (fractional):
Zn 0.2500 0.2500 0.2500 x4  6 O 2.17
Mo 0.0000 0.0000 0.0000 x4  6 O 2.16-2.18
Mo 0.0000 0.2500 0.6297 x4  4 O 2.09-2.11
O 0.0000 0.0000 0.2241 x8  2 Mo 2.09-2.16, 2 Zn 2.17
O 0.2491 0.2500 0.4757 x8  3 Mo 2.11-2.18, 1 Zn 2.17

The value obtained for the energy above the most stable polymorph in this dataset is 1.52 eV per formula unit. As for the theoretical density: 5.9 g cm⁻³. The crystal system is orthorhombic.